[1]
Here is a geometry-optimized Ce2MgCd8 structure from the Alexandria database. Energies are from PBE.

a b c (Å): 4.676 6.876 17.033
angles (deg): 90.00 90.00 90.00
Space group Immm (No. 71)
One atom of each set of equivalent atoms:
1 Ce 0.000 0.000 0.218 (multiplicity 4)
2 Mg 0.000 0.000 0.500 (multiplicity 2)
3 Cd 0.000 0.208 0.000 (multiplicity 4)
4 Cd 0.000 0.288 0.380 (multiplicity 8)
5 Cd 0.000 0.500 0.143 (multiplicity 4)

Summary:
- Fermi-level density of states: 1.69 states/eV per atom
- Final energy: -2.00 eV/atom
- ΔE_f: -0.112 eV/atom
- Magnetic moment: 1.84 μB per formula unit

***

[2]
Here is a geometry-optimized Nd2PuMoN5 structure from the Alexandria database. Energies are from PBE.

a b c (Å): 3.522 13.930 10.473
angles (deg): 90.00 90.00 90.00
Space group Cmc2_1 (No. 36)
One atom of each set of equivalent atoms:
1 Nd 0.000 0.109 0.000 (multiplicity 4)
2 Nd 0.000 0.143 0.622 (multiplicity 4)
3 Pu 0.000 0.208 0.329 (multiplicity 4)
4 Mo 0.000 0.477 0.773 (multiplicity 4)
5 N 0.000 0.040 0.355 (multiplicity 4)
6 N 0.000 0.283 0.969 (multiplicity 4)
7 N 0.000 0.321 0.702 (multiplicity 4)
8 N 0.000 0.370 0.321 (multiplicity 4)
9 N 0.000 0.489 0.102 (multiplicity 4)

Summary:
- E_form (uncorrected): -1.047 eV/atom
- Fermi-level density of states: 0.72 states/eV per atom
- Final energy: -9.53 eV/atom
- Magnetic moment: 3.50 μB per formula unit

***

[3]
Here is a geometry-optimized PmNd2Au8 structure from the Alexandria database. Energies are from PBE.

a b c (Å): 8.060 15.358 5.261
angles (deg): 90.00 130.53 90.00
Space group C2/m (No. 12)
One atom of each set of equivalent atoms:
1 Pm 0.000 0.000 0.000 (multiplicity 2)
2 Nd 0.000 0.314 0.500 (multiplicity 4)
3 Au 0.000 0.199 0.000 (multiplicity 4)
4 Au 0.001 0.500 0.251 (multiplicity 4)
5 Au 0.227 0.131 0.729 (multiplicity 8)

Summary:
- Fermi-level density of states: 0.40 states/eV per atom
- Final energy: -4.36 eV/atom
- ΔE_f: -0.678 eV/atom
- Magnetic moment: 0.00 μB per formula unit

***

[4]
Here is a geometry-optimized AcNdDy2Y5 structure from the Alexandria database. Energies are from PBE.

a b c (Å): 8.990 8.990 15.331
angles (deg): 90.00 90.00 90.00
Space group I4/mcm (No. 140)
One atom of each set of equivalent atoms:
1 Ac 0.000 0.500 0.250 (multiplicity 4)
2 Nd 0.000 0.000 0.250 (multiplicity 4)
3 Dy 0.112 0.388 0.000 (multiplicity 8)
4 Y 0.000 0.000 0.000 (multiplicity 4)
5 Y 0.207 0.293 0.373 (multiplicity 16)

Summary:
- Fermi-level density of states: 1.28 states/eV per atom
- Final energy: -5.33 eV/atom
- ΔE_f: 0.272 eV/atom
- Magnetic moment: 0.00 μB per formula unit

***

Copy entry 3 word for word.
Here is a geometry-optimized PmNd2Au8 structure from the Alexandria database. Energies are from PBE.

a b c (Å): 8.060 15.358 5.261
angles (deg): 90.00 130.53 90.00
Space group C2/m (No. 12)
One atom of each set of equivalent atoms:
1 Pm 0.000 0.000 0.000 (multiplicity 2)
2 Nd 0.000 0.314 0.500 (multiplicity 4)
3 Au 0.000 0.199 0.000 (multiplicity 4)
4 Au 0.001 0.500 0.251 (multiplicity 4)
5 Au 0.227 0.131 0.729 (multiplicity 8)

Summary:
- Fermi-level density of states: 0.40 states/eV per atom
- Final energy: -4.36 eV/atom
- ΔE_f: -0.678 eV/atom
- Magnetic moment: 0.00 μB per formula unit

***

Question: final energy of number 2 (Nd2PuMoN5)?
Answer: -9.53 eV/atom

***

Question: Among the records above, which one has the lowest final energy?
Answer: Nd2PuMoN5

***

Copy entry 1 word for word.
Here is a geometry-optimized Ce2MgCd8 structure from the Alexandria database. Energies are from PBE.

a b c (Å): 4.676 6.876 17.033
angles (deg): 90.00 90.00 90.00
Space group Immm (No. 71)
One atom of each set of equivalent atoms:
1 Ce 0.000 0.000 0.218 (multiplicity 4)
2 Mg 0.000 0.000 0.500 (multiplicity 2)
3 Cd 0.000 0.208 0.000 (multiplicity 4)
4 Cd 0.000 0.288 0.380 (multiplicity 8)
5 Cd 0.000 0.500 0.143 (multiplicity 4)

Summary:
- Fermi-level density of states: 1.69 states/eV per atom
- Final energy: -2.00 eV/atom
- ΔE_f: -0.112 eV/atom
- Magnetic moment: 1.84 μB per formula unit